Entry 1:
The following is a PBE calculation of MgMn2Fe after structural relaxation, from Alexandria via LeMat-Bulk.

Computed properties:
Spin magnetization, μB/f.u.: 9.0
ΔH_f (0 K), eV/atom: 0.3680

a b c (Å): 9.020 2.729 4.759
angles (deg): 90.00 99.89 90.00
Space group Cm (No. 8)
Unique sites:
Mg (0.000, 0.000, 0.000) x2
Mn (0.243, 0.000, 0.734) x2
Mn (0.497, 0.000, 0.493) x2
Fe (0.252, 0.500, 0.269) x2

---

Entry 2:
The following is a PBE calculation of MgMn2Fe after structural relaxation, from Alexandria via LeMat-Bulk.

Computed properties:
Spin magnetization, μB/f.u.: 0.0
ΔH_f (0 K), eV/atom: 0.2984

a b c (Å): 5.926 5.926 5.926
angles (deg): 90.00 90.00 90.00
Space group F-43m (No. 216)
Unique sites:
Mg (0.000, 0.000, 0.000) x4
Mn (0.000, 0.000, 0.500) x4
Mn (0.250, 0.250, 0.250) x4
Fe (0.250, 0.250, 0.750) x4